## ErPa2S5 (GGA-PBE)

Data for a geometry-optimized ErPa2S5 structure.

**Magnetic moment**: 0.27 μB/atom
**D(E_F)**: 31.34 states/eV per cell
**Calculated volume**: 21.11 Å³ per atom
**Total energy**: -7.281 eV per atom

Cell and atoms, written as CIF:
```
data_ErPa2S5
_chemical_formula_sum 'Er4 Pa8 S20'
_space_group_name_H-M_alt 'P 1'
_space_group_IT_number 1
_cell_length_a 11.8447
_cell_length_b 7.7765
_cell_length_c 7.3323
_cell_angle_alpha 90.00
_cell_angle_beta 90.00
_cell_angle_gamma 90.00
loop_
_space_group_symop_operation_xyz
'x,y,z'
loop_
_atom_site_label
_atom_site_fract_x
_atom_site_fract_y
_atom_site_fract_z
Er1 0.0037 0.2500 0.0764
Er2 0.4963 0.7500 0.5764
Er3 0.5037 0.2500 0.4236
Er4 0.9963 0.7500 0.9236
Pa1 0.1797 0.0002 0.5151
Pa2 0.1797 0.4998 0.5151
Pa3 0.3203 0.9998 0.0151
Pa4 0.3203 0.5002 0.0151
Pa5 0.6797 0.0002 0.9849
Pa6 0.6797 0.4998 0.9849
Pa7 0.8203 0.9998 0.4849
Pa8 0.8203 0.5002 0.4849
S1 0.0010 0.2500 0.4659
S2 0.1038 0.5400 0.1620
S3 0.1038 0.9600 0.1620
S4 0.1849 0.2500 0.8230
S5 0.2129 0.7500 0.7972
S6 0.2871 0.2500 0.2972
S7 0.3151 0.7500 0.3230
S8 0.3962 0.0400 0.6620
S9 0.3962 0.4600 0.6620
S10 0.4990 0.7500 0.9659
S11 0.5010 0.2500 0.0341
S12 0.6038 0.5400 0.3380
S13 0.6038 0.9600 0.3380
S14 0.6849 0.2500 0.6770
S15 0.7129 0.7500 0.7028
S16 0.7871 0.2500 0.2028
S17 0.8151 0.7500 0.1770
S18 0.8962 0.0400 0.8380
S19 0.8962 0.4600 0.8380
S20 0.9990 0.7500 0.5341
```